A relaxed structure of HPtRh2W, computed with PBE.

Summary:
Offset from the most stable computed form = 0.0260 eV/atom
Uncorrected energy = -0.27266 hartree per atom

a b c (Å): 3.9800 3.9800 3.9288
angles (deg): 90.00 90.00 90.00
Closest atoms and distances in Å follow each position.
Sites, in units of the cell vectors:
H 0.0000 0.0000 0.0000  2 Pt 1.96, 4 Rh 1.99
Pt 0.0000 0.0000 0.5000  2 H 1.96
Rh 0.0000 0.5000 0.0000  2 H 1.99
Rh 0.5000 0.0000 0.0000  2 H 1.99
W 0.5000 0.5000 0.5000  8 Rh 2.80, 4 Pt 2.81